Model w:
Here is crystalline TaCo3P at its relaxed geometry from Alexandria via LeMat-Bulk. Energies are from PBE-GGA.

a b c (Å): 4.463 4.463 4.463
angles (deg): 90.00 90.00 90.00
Space group Pm-3m (No. 221)
One atom of each set of equivalent atoms:
Ta (0.000, 0.000, 0.000)
Co (0.000, 0.000, 0.500)
P (0.500, 0.500, 0.500)

Results
Volume (Å³/cell): 88.88

***

Model x:
Here is crystalline TaCo3P at its relaxed geometry from Alexandria via LeMat-Bulk. Energies are from PBE-GGA.

a b c (Å): 4.082 4.082 4.082
angles (deg): 90.00 90.00 90.00
Space group Pm-3m (No. 221)
One atom of each set of equivalent atoms:
Ta (0.000, 0.000, 0.000)
Co (0.000, 0.500, 0.500)
P (0.500, 0.500, 0.500)

Results
Volume (Å³/cell): 68.00

***

What is the least stable structure shown above? It is model w.